## Ba3In4Sn2 (PBE)

Data for a relaxed Ba3In4Sn2 crystal.

abc: 7.066 7.066 9.965
angles: 100.13 100.13 41.11
Sites, in units of the cell vectors:
1 Ba 0.000 0.000 0.000
2 Ba 0.323 0.323 0.343
3 Ba 0.677 0.677 0.657
4 In 0.018 0.018 0.357
5 In 0.255 0.255 0.927
6 In 0.745 0.745 0.073
7 In 0.982 0.982 0.643
8 Sn 0.384 0.384 0.717
9 Sn 0.616 0.616 0.283

DOS at the Fermi energy   2.65 states/eV per cell
Volume   321 Å³/cell
SG   C2/m
Energy   -3.25 eV/atom
Energy relative to the elements   -507 meV/atom
Magnetic moment   0.0 μB per cell
Crystal system   monoclinic

## Ba3InSn (PBE)

Data for a relaxed Ba3InSn crystal.

abc: 6.675 6.675 6.675
angles: 90.00 90.00 90.00
Sites, in units of the cell vectors:
1 Ba 0.000 0.000 0.500
2 Ba 0.000 0.500 0.000
3 Ba 0.500 0.000 0.000
4 In 0.500 0.500 0.500
5 Sn 0.000 0.000 0.000

DOS at the Fermi energy   5.71 states/eV per cell
Volume   297 Å³/cell
E above lowest polymorph   379 meV/atom
SG   Pm-3m
Energy   -2.59 eV/atom
Energy relative to the elements   -88 meV/atom
Magnetic moment   2.5 μB per cell
Crystal system   cubic

## Ba12InSn7 (PBE)

Data for a relaxed Ba12InSn7 crystal.

abc: 10.471 10.471 10.471
angles: 108.30 108.30 108.30
Sites, in units of the cell vectors:
1 Ba 0.087 0.378 0.291
2 Ba 0.156 0.310 0.666
3 Ba 0.291 0.087 0.378
4 Ba 0.310 0.666 0.156
5 Ba 0.334 0.844 0.690
6 Ba 0.378 0.291 0.087
7 Ba 0.622 0.709 0.913
8 Ba 0.666 0.156 0.310
9 Ba 0.690 0.334 0.844
10 Ba 0.709 0.913 0.622
11 Ba 0.844 0.690 0.334
12 Ba 0.913 0.622 0.709
13 In 0.000 0.000 0.000
14 Sn 0.015 0.277 0.915
15 Sn 0.085 0.985 0.723
16 Sn 0.277 0.915 0.015
17 Sn 0.500 0.500 0.500
18 Sn 0.723 0.085 0.985
19 Sn 0.915 0.015 0.277
20 Sn 0.985 0.723 0.085

DOS at the Fermi energy   19.33 states/eV per cell
Volume   920 Å³/cell
SG   R-3
Energy   -3.09 eV/atom
Energy relative to the elements   -396 meV/atom
Magnetic moment   0.9 μB per cell
Crystal system   trigonal